1.
VASP calculation (PBE) on a relaxed structure of Cs3RbHg.

Cell: 5.3886 11.9070 13.3734 Å, 92.73 90.18 103.04°
Positions (direct):
Cs1 0.0000 0.0000 0.0000
Cs2 0.1109 0.2230 0.5062
Cs3 0.3148 0.6259 0.0114
Cs4 0.4411 0.8867 0.6939
Cs5 0.6695 0.3365 0.8120
Cs6 0.7951 0.5966 0.4947
Rb1 0.4502 0.9046 0.3141
Rb2 0.6619 0.3182 0.1920
Hg1 0.2739 0.5489 0.7101
Hg2 0.8365 0.6744 0.7962

- E above lowest polymorph (eV/atom) = 0.000
- E (eV per atom) = -0.866
- space group = P1, No. 1
- spin magnetization (μB/atom) = 0.000

***

2.
VASP calculation (PBE) on a relaxed structure of Cs2Rb7Hg2.

Cell: 9.8574 9.8574 11.1204 Å, 96.64 96.64 113.29°
Positions (direct):
Cs1 0.1406 0.8594 0.0000
Cs2 0.8594 0.1406 0.0000
Rb1 0.0987 0.5363 0.3217
Rb2 0.1624 0.1624 0.6558
Rb3 0.4637 0.9013 0.6783
Rb4 0.5000 0.5000 0.5000
Rb5 0.5363 0.0987 0.3217
Rb6 0.8376 0.8376 0.3442
Rb7 0.9013 0.4637 0.6783
Hg1 0.1705 0.1705 0.2980
Hg2 0.8295 0.8295 0.7020

- E (eV per atom) = -0.817
- space group = C2/m, No. 12
- spin magnetization (μB/atom) = 0.000

***

3.
VASP calculation (PBE) on a relaxed structure of Cs3Rb2Hg.

Cell: 13.6132 13.6132 10.2562 Å, 101.41 101.41 34.16°
Positions (direct):
Cs1 0.0009 0.9991 0.7500
Cs2 0.3914 0.3913 0.4430
Cs3 0.3913 0.3914 0.9430
Cs4 0.6087 0.6086 0.0570
Cs5 0.6086 0.6087 0.5570
Cs6 0.9991 0.0009 0.2500
Rb1 0.2098 0.2098 0.1027
Rb2 0.2098 0.2098 0.6027
Rb3 0.7902 0.7902 0.3973
Rb4 0.7902 0.7902 0.8973
Hg1 0.4984 0.5016 0.2500
Hg2 0.5016 0.4984 0.7500

- E (eV per atom) = -0.856
- space group = C2/c, No. 15
- spin magnetization (μB/atom) = 0.000

***

4.
VASP calculation (PBE) on a relaxed structure of Cs3Rb8Hg2.

Cell: 13.4834 5.6940 14.0647 Å, 90.00 97.25 90.00°
Positions (direct):
Cs1 0.0000 0.0000 0.0000
Cs2 0.3140 0.5000 0.9178
Cs3 0.6860 0.5000 0.0822
Rb1 0.0916 0.0000 0.6431
Rb2 0.1443 0.5000 0.2482
Rb3 0.3409 0.5000 0.5443
Rb4 0.4234 0.0000 0.2511
Rb5 0.5766 0.0000 0.7489
Rb6 0.6591 0.5000 0.4557
Rb7 0.8557 0.5000 0.7518
Rb8 0.9084 0.0000 0.3569
Hg1 0.2068 0.0000 0.4098
Hg2 0.7932 0.0000 0.5902

- E (eV per atom) = -0.888
- space group = P2/m, No. 10
- spin magnetization (μB/atom) = 0.000

***

What is the formula in the third record?
Cs3Rb2Hg